1.
## SrFeCoTe3 (PBE)

Data for a relaxed SrFeCoTe3 crystal.

size of the total moment	4.06	μB per formula unit
total DFT energy (no corrections)	-57.48	eV/cell

The structure in CIF format:
```
data_SrFeCoTe3
_chemical_formula_sum 'Sr2 Fe2 Co2 Te6'
_space_group_name_H-M_alt 'P 1'
_space_group_IT_number 1
_cell_length_a 7.382
_cell_length_b 7.382
_cell_length_c 10.177
_cell_angle_alpha 90.00
_cell_angle_beta 90.00
_cell_angle_gamma 32.06
loop_
_space_group_symop_operation_xyz
'x,y,z'
loop_
_atom_site_label
_atom_site_type_symbol
_atom_site_fract_x
_atom_site_fract_y
_atom_site_fract_z
Te1 Te 0.625 0.625 0.968
Te2 Te 0.625 0.625 0.532
Te3 Te 0.071 0.071 0.250
Te4 Te 0.375 0.375 0.032
Te5 Te 0.375 0.375 0.468
Te6 Te 0.929 0.929 0.750
Co1 Co 0.000 0.000 0.000
Co2 Co 0.000 0.000 0.500
Fe1 Fe 0.463 0.463 0.250
Fe2 Fe 0.537 0.537 0.750
Sr1 Sr 0.235 0.235 0.750
Sr2 Sr 0.765 0.765 0.250
```

2.
## LiCuSiTc (PBE)

Data for a relaxed LiCuSiTc crystal.

size of the total moment	0.00	μB per formula unit
total DFT energy (no corrections)	-22.04	eV/cell

The structure in CIF format:
```
data_LiCuSiTc
_chemical_formula_sum 'Li1 Cu1 Si1 Tc1'
_space_group_name_H-M_alt 'P 1'
_space_group_IT_number 1
_cell_length_a 4.082
_cell_length_b 4.082
_cell_length_c 4.082
_cell_angle_alpha 60.00
_cell_angle_beta 60.00
_cell_angle_gamma 60.00
loop_
_space_group_symop_operation_xyz
'x,y,z'
loop_
_atom_site_label
_atom_site_type_symbol
_atom_site_fract_x
_atom_site_fract_y
_atom_site_fract_z
Li1 Li 0.500 0.500 0.500
Si1 Si 0.000 0.000 0.000
Tc1 Tc 0.250 0.250 0.250
Cu1 Cu 0.750 0.750 0.750
```

3.
## ErHfPO (PBE)

Data for a relaxed ErHfPO crystal.

size of the total moment	0.00	μB per formula unit
total DFT energy (no corrections)	-64.42	eV/cell

The structure in CIF format:
```
data_ErHfPO
_chemical_formula_sum 'Er2 Hf2 P2 O2'
_space_group_name_H-M_alt 'P 1'
_space_group_IT_number 1
_cell_length_a 4.034
_cell_length_b 7.176
_cell_length_c 5.032
_cell_angle_alpha 90.00
_cell_angle_beta 90.00
_cell_angle_gamma 90.00
loop_
_space_group_symop_operation_xyz
'x,y,z'
loop_
_atom_site_label
_atom_site_type_symbol
_atom_site_fract_x
_atom_site_fract_y
_atom_site_fract_z
Hf1 Hf 0.500 0.744 0.439
Hf2 Hf 0.500 0.256 0.939
O1 O 0.000 0.173 0.939
O2 O 0.000 0.827 0.439
Er1 Er 0.000 0.145 0.438
Er2 Er 0.000 0.855 0.938
P1 P 0.500 0.384 0.438
P2 P 0.500 0.616 0.938
```

4.
## GdI2 (PBE)

Data for a relaxed GdI2 crystal.

size of the total moment	1.00	μB per formula unit
total DFT energy (no corrections)	-20.05	eV/cell

The structure in CIF format:
```
data_GdI2
_chemical_formula_sum 'Gd2 I4'
_space_group_name_H-M_alt 'P 1'
_space_group_IT_number 1
_cell_length_a 9.633
_cell_length_b 9.633
_cell_length_c 9.633
_cell_angle_alpha 60.00
_cell_angle_beta 60.00
_cell_angle_gamma 60.00
loop_
_space_group_symop_operation_xyz
'x,y,z'
loop_
_atom_site_label
_atom_site_type_symbol
_atom_site_fract_x
_atom_site_fract_y
_atom_site_fract_z
I1 I 0.375 0.375 0.375
I2 I 0.375 0.875 0.375
I3 I 0.875 0.375 0.375
I4 I 0.375 0.375 0.875
Gd1 Gd 0.250 0.250 0.250
Gd2 Gd 0.500 0.500 0.500
```

> Look up the size of the total moment of the fourth one.

1.00 μB per formula unit